(1)
DFT (PBE) results for CsTl2GaSb2 after structural relaxation.

Results
SG ... No. 26
Total moment ... 0.0 μB/f.u.
Fermi-level density of states ... 2.8 states/eV per cell
Formation energy from raw total energies ... -0.12 eV per atom

Cell lengths 4.4976, 8.4608, 12.0159 Å; angles 90.00, 90.00, 90.00 degrees
Closest atoms and distances in Å follow each position.
Atoms (fractional coordinates):
Cs: 0.0000 0.0087 0.4683  5 Sb 3.85-3.98, 2 Ga 4.04, 2 Cs 4.30
Cs: 0.0000 0.5087 0.5317  5 Sb 3.85-3.98, 2 Ga 4.04, 2 Cs 4.30
Tl: 0.5000 0.0240 0.0932  3 Sb 3.41-3.46, 4 Tl 3.64-3.67
Tl: 0.0000 0.3657 0.1176  3 Sb 3.22-3.42, 2 Ga 3.44
Tl: 0.5000 0.5240 0.9068  3 Sb 3.41-3.46, 4 Tl 3.64-3.67
Tl: 0.0000 0.8657 0.8824  3 Sb 3.22-3.42, 2 Ga 3.44
Ga: 0.5000 0.0988 0.7408  3 Sb 2.62-2.70
Ga: 0.5000 0.5988 0.2592  3 Sb 2.62-2.70
Sb: 0.0000 0.2533 0.8001  2 Ga 2.70
Sb: 0.5000 0.2951 0.3033  1 Ga 2.62
Sb: 0.0000 0.7533 0.1999  2 Ga 2.70
Sb: 0.5000 0.7951 0.6967  1 Ga 2.62


(2)
DFT (PBE) results for Cs2TlGaSb2 after structural relaxation.

Results
SG ... No. 72
Total moment ... 0.0 μB/f.u.
Fermi-level density of states ... 4.7 states/eV per cell
Formation energy from raw total energies ... -0.34 eV per atom

Cell lengths 7.6645, 7.4848, 10.0098 Å; angles 111.95, 112.51, 90.00 degrees
Closest atoms and distances in Å follow each position.
Atoms (fractional coordinates):
Cs: 0.4079 0.1675 0.3351  6 Sb 3.85-4.30, 2 Tl 3.86, 2 Ga 3.94
Cs: 0.5921 0.8325 0.6649  6 Sb 3.85-4.30, 2 Tl 3.86, 2 Ga 3.94
Cs: 0.0729 0.3325 0.6649  6 Sb 3.85-4.30, 2 Tl 3.86, 2 Ga 3.94
Cs: 0.9271 0.6675 0.3351  6 Sb 3.85-4.30, 2 Tl 3.86, 2 Ga 3.94
Tl: 0.0000 0.7500 0.0000  4 Sb 3.25
Tl: 0.0000 0.2500 0.0000  4 Sb 3.25
Ga: 0.5000 0.7500 0.0000  4 Sb 2.86
Ga: 0.5000 0.2500 0.0000  4 Sb 2.86
Sb: 0.7959 0.0860 0.1720  2 Ga 2.86
Sb: 0.3761 0.5860 0.1720  2 Ga 2.86
Sb: 0.6239 0.4140 0.8280  2 Ga 2.86
Sb: 0.2041 0.9140 0.8280  2 Ga 2.86


(3)
DFT (PBE) results for Cs2ZnGaSb2 after structural relaxation.

Results
SG ... No. 72
Total moment ... 0.0 μB/f.u.
Fermi-level density of states ... 3.3 states/eV per cell
Formation energy from raw total energies ... -0.36 eV per atom

Cell lengths 7.0873, 7.0914, 9.9715 Å; angles 110.82, 110.82, 90.00 degrees
Closest atoms and distances in Å follow each position.
Atoms (fractional coordinates):
Cs: 0.4160 0.1658 0.3317  4 Sb 3.79-3.86, 2 Zn 3.80, 2 Ga 3.80
Cs: 0.5840 0.8342 0.6683  4 Sb 3.79-3.86, 2 Zn 3.80, 2 Ga 3.80
Cs: 0.0843 0.3342 0.6683  4 Sb 3.79-3.86, 2 Zn 3.80, 2 Ga 3.80
Cs: 0.9157 0.6658 0.3317  4 Sb 3.79-3.86, 2 Zn 3.80, 2 Ga 3.80
Zn: 0.5000 0.7500 0.0000  4 Sb 2.86
Zn: 0.5000 0.2500 0.0000  4 Sb 2.86
Ga: 0.0000 0.7500 0.0000  4 Sb 2.90
Ga: 0.0000 0.2500 0.0000  4 Sb 2.90
Sb: 0.8275 0.0825 0.1649  2 Zn 2.86, 2 Ga 2.90
Sb: 0.3375 0.5825 0.1649  2 Zn 2.86, 2 Ga 2.90
Sb: 0.6625 0.4175 0.8351  2 Zn 2.86, 2 Ga 2.90
Sb: 0.1725 0.9175 0.8351  2 Zn 2.86, 2 Ga 2.90


(4)
DFT (PBE) results for CsSc2Ga after structural relaxation.

Results
Polymorph energy (0 for the lowest one) ... 1.650 eV/f.u.
SG ... No. 141
Total moment ... 0.0 μB/f.u.
Fermi-level density of states ... 4.8 states/eV per cell

Cell lengths 6.3384, 6.3384, 9.8249 Å; angles 71.18, 71.18, 90.00 degrees
Closest atoms and distances in Å follow each position.
Atoms (fractional coordinates):
Cs: 0.0000 0.0000 0.0000  8 Sc 4.16, 4 Ga 4.48
Cs: 0.7500 0.2500 0.5000  8 Sc 4.16, 4 Ga 4.48
Sc: 0.3749 0.1250 0.2500  2 Ga 2.70
Sc: 0.3751 0.6250 0.2500  2 Ga 2.70
Sc: 0.3750 0.6251 0.7500  2 Ga 2.70
Sc: 0.8750 0.6249 0.7500  2 Ga 2.70
Ga: 0.5000 0.5000 0.0000  4 Sc 2.70
Ga: 0.2500 0.7500 0.5000  4 Sc 2.70